Entry from Alexandria via LeMat-Bulk: a PBEsol-optimized structure of MnRe2Ru (SCAN).

The structure in POSCAR format:
```
MnRe2Ru
1.0
2.692 0.000 0.000
0.000 4.273 0.000
0.000 0.000 4.626
Mn Re Ru
1 2 1
direct
0.000 0.000 0.000 Mn
0.500 0.000 0.506 Re
0.500 0.500 0.849 Re
0.000 0.500 0.339 Ru
```

## Properties
Distance to the lowest polymorph of the same formula = 0 meV per atom
Symmetry = No. 25
Total magnetic moment = 2.03 μB per formula unit
Formation energy from the elements = -0.0199 eV/atom
Total energy = -48.839 eV/atom
Fermi-level density of states = 0.877 states/eV per atom

---

Entry from Alexandria via LeMat-Bulk: a PBEsol-optimized structure of Ti2CrH2 (SCAN).

The structure in POSCAR format:
```
Ti2CrH2
1.0
3.055 0.000 0.000
0.000 3.055 0.000
0.000 0.000 10.252
Ti Cr H
4 2 4
direct
0.000 0.000 0.140 Ti
0.000 0.000 0.860 Ti
0.500 0.500 0.360 Ti
0.500 0.500 0.640 Ti
0.000 0.000 0.500 Cr
0.500 0.500 0.000 Cr
0.000 0.500 0.250 H
0.000 0.500 0.750 H
0.500 0.000 0.250 H
0.500 0.000 0.750 H
```

## Properties
Symmetry = No. 139
Total magnetic moment = 0.86 μB per formula unit
Total energy = -11.748 eV/atom
Fermi-level density of states = 0.537 states/eV per atom

---

Among the records above, which one has the lowest Fermi-level density of states? Ti2CrH2

---

The lowest Fermi-level density of states belongs to which entry? Ti2CrH2